No. 1
Compound: Na3Dy2PuO6
Source: Alexandria via LeMat-Bulk
Functional: PBE
Structure: relaxed

Properties
Energy relative to the elements, uncorrected, eV per formula unit: -31.66
Space group: C2/m, No. 12
M_tot, μB/atom: 0.42

Cell: 5.9995 5.9995 5.9451 Å, 99.68 99.68 120.00°
With the nearest neighbours (Å) after each atom.
Atoms (fractional coordinates):
O (0.7314, 0.7314, 0.2131)  2 Dy 2.31, 1 Pu 2.36, 1 Na 2.54
O (0.2686, 0.2686, 0.7869)  2 Dy 2.31, 1 Pu 2.36, 1 Na 2.54
O (0.0708, 0.4103, 0.2125)  2 Dy 2.31, 1 Pu 2.36, 3 Na 2.52-2.58
O (0.5897, 0.9292, 0.7875)  2 Dy 2.31, 1 Pu 2.36, 3 Na 2.52-2.58
O (0.9292, 0.5897, 0.7875)  2 Dy 2.31, 1 Pu 2.36, 3 Na 2.52-2.58
O (0.4103, 0.0708, 0.2125)  2 Dy 2.31, 1 Pu 2.36, 3 Na 2.52-2.58
Dy (0.6666, 0.3334, 0.0000)  6 O 2.31
Dy (0.3334, 0.6666, 0.0000)  6 O 2.31
Na (0.1688, 0.8312, 0.5000)  6 O 2.52-2.60
Na (0.8312, 0.1688, 0.5000)  6 O 2.52-2.60
Na (0.5000, 0.5000, 0.5000)  6 O 2.54-2.58
Pu (0.0000, 0.0000, 0.0000)  6 O 2.36



No. 2
Compound: Er6IrPb2
Source: Alexandria via LeMat-Bulk
Functional: PBE
Structure: relaxed

Properties
Distance to the lowest polymorph of the same formula, meV/atom: 155
Formation energy, meV/atom: -383
Space group: Immm, No. 71
M_tot, μB/atom: 0.00

Cell: 5.1246 7.1206 8.6800 Å, 114.22 107.15 90.00°
With the nearest neighbours (Å) after each atom.
Atoms (fractional coordinates):
Er (0.1482, 0.3876, 0.2966)  1 Ir 2.80
Er (0.8518, 0.0910, 0.7034)  1 Ir 2.80
Er (0.1482, 0.9090, 0.2966)  1 Ir 2.80
Er (0.5000, 0.7753, 0.0000)  2 Ir 3.02, 1 Er 3.20, 2 Pb 3.27
Er (0.5000, 0.2247, 0.0000)  2 Ir 3.02, 1 Er 3.20, 2 Pb 3.27
Er (0.8518, 0.6124, 0.7034)  1 Ir 2.80
Pb (0.3257, 0.3255, 0.6509)  8 Er 3.15-3.27
Pb (0.6743, 0.6745, 0.3491)  8 Er 3.15-3.27
Ir (0.0000, 0.0000, 0.0000)  8 Er 2.80-3.02



No. 3
Compound: FeAgSbS4N6
Source: Alexandria via LeMat-Bulk
Functional: PBE
Structure: relaxed

Properties
Energy relative to the elements, uncorrected, eV per formula unit: 10.24
Space group: P-4n2, No. 118
M_tot, μB/atom: 0.14

Cell: 7.2952 7.2952 8.6247 Å, 90.00 90.00 90.00°
With the nearest neighbours (Å) after each atom.
Atoms (fractional coordinates):
S (0.7074, 0.5948, 0.2464)  1 S 2.04
S (0.7926, 0.0948, 0.7464)  1 S 2.04
S (0.2926, 0.4052, 0.2464)  1 S 2.04
S (0.2074, 0.9052, 0.7464)  1 S 2.04
S (0.9052, 0.7926, 0.2536)  1 S 2.04
S (0.4052, 0.7074, 0.7536)  1 S 2.04
S (0.0948, 0.2074, 0.2536)  1 S 2.04
S (0.5948, 0.2926, 0.7536)  1 S 2.04
Ag (0.5000, 0.5000, 0.0000)  4 S 2.70
Ag (0.0000, 0.0000, 0.5000)  4 S 2.70
N (0.0549, 0.5559, 0.9925)  1 N 1.14
N (0.5549, 0.9441, 0.4925)  1 N 1.14
N (0.9451, 0.4441, 0.9925)  1 N 1.14
N (0.6624, 0.1624, 0.2500)  1 Fe 1.68
N (0.4441, 0.0549, 0.0075)  1 N 1.14
N (0.1624, 0.3376, 0.7500)  1 Fe 1.68
N (0.4451, 0.0559, 0.4925)  1 N 1.14
N (0.0559, 0.5549, 0.5075)  1 N 1.14
N (0.8376, 0.6624, 0.7500)  1 Fe 1.68
N (0.3376, 0.8376, 0.2500)  1 Fe 1.68
N (0.9441, 0.4451, 0.5075)  1 N 1.14
N (0.5559, 0.9451, 0.0075)  1 N 1.14
Fe (0.0000, 0.5000, 0.7500)  2 N 1.68
Fe (0.5000, 0.0000, 0.2500)  2 N 1.68
Sb (0.5000, 0.5000, 0.5000)  4 S 2.75
Sb (0.0000, 0.0000, 0.0000)  4 S 2.75



No. 4
Compound: ScPaAlCd
Source: Alexandria via LeMat-Bulk
Functional: PBE
Structure: relaxed

Properties
Formation energy, meV/atom: -12
Space group: F-43m, No. 216
M_tot, μB/atom: 0.23

Cell: 5.0630 5.0630 5.0630 Å, 60.00 60.00 60.00°
With the nearest neighbours (Å) after each atom.
Atoms (fractional coordinates):
Pa (0.5000, 0.5000, 0.5000)  4 Cd 3.10, 4 Al 3.10
Al (0.2500, 0.2500, 0.2500)  4 Pa 3.10, 4 Sc 3.10
Sc (0.0000, 0.0000, 0.0000)  4 Cd 3.10, 4 Al 3.10
Cd (0.7500, 0.7500, 0.7500)  4 Pa 3.10, 4 Sc 3.10



No. 5
Compound: Tm4GeBi2As
Source: Alexandria via LeMat-Bulk
Functional: PBE
Structure: relaxed

Properties
Formation energy, meV/atom: -926
Space group: P2/m, No. 10
M_tot, μB/atom: 0.00

Cell: 4.1699 7.2456 7.5940 Å, 108.50 90.00 90.00°
With the nearest neighbours (Å) after each atom.
Atoms (fractional coordinates):
Tm (0.5000, 0.7581, 0.7810)  1 Ge 2.87, 2 As 2.89, 3 Bi 3.14-3.16
Tm (0.0000, 0.2619, 0.7809)  2 Ge 2.88, 1 As 2.89, 3 Bi 3.14-3.15
Tm (0.0000, 0.7381, 0.2191)  2 Ge 2.88, 1 As 2.89, 3 Bi 3.14-3.15
Tm (0.5000, 0.2419, 0.2190)  1 Ge 2.87, 2 As 2.89, 3 Bi 3.14-3.16
Bi (0.0000, 0.5000, 0.5000)  6 Tm 3.14
Bi (0.5000, 0.0000, 0.5000)  6 Tm 3.15-3.16
As (0.0000, 0.0000, 0.0000)  6 Tm 2.89
Ge (0.5000, 0.5000, 0.0000)  6 Tm 2.87-2.88



No. 6
Compound: Na2MgRhCl
Source: Alexandria via LeMat-Bulk
Functional: PBE
Structure: relaxed

Properties
Energy relative to the elements, uncorrected, eV per formula unit: 1.11
Space group: P4/mmm, No. 123
M_tot, μB/atom: 0.04

Cell: 5.8489 4.6610 5.8489 Å, 90.00 90.00 90.00°
With the nearest neighbours (Å) after each atom.
Atoms (fractional coordinates):
Mg (0.0000, 0.0000, 0.0000)  2 Rh 2.33
Na (0.5000, 0.0000, 0.0000)  2 Mg 2.92
Na (0.0000, 0.0000, 0.5000)  2 Mg 2.92
Cl (0.5000, 0.5000, 0.5000)  8 Na 3.74, 4 Rh 4.14
Rh (0.0000, 0.5000, 0.0000)  2 Mg 2.33



No. 7
Compound: Zn3Cd2Ga
Source: Alexandria via LeMat-Bulk
Functional: PBE
Structure: relaxed

Properties
Formation energy, meV/atom: 67
Space group: C2/m, No. 12
M_tot, μB/atom: 0.00

Cell: 5.1661 5.1661 5.6701 Å, 90.81 115.60 120.68°
With the nearest neighbours (Å) after each atom.
Atoms (fractional coordinates):
Zn (0.5000, 0.0000, 0.5000)  4 Zn 2.58
Zn (0.5000, 0.5000, 0.5000)  4 Zn 2.56-2.58, 2 Ga 2.84
Zn (0.0000, 0.0000, 0.5000)  4 Zn 2.56-2.58, 2 Ga 2.84
Ga (0.0000, 0.0000, 0.0000)  6 Zn 2.84-2.90, 6 Cd 3.04-3.06
Cd (0.7632, 0.3795, 0.1427)  3 Ga 3.04-3.06, 6 Zn 3.09-3.14, 3 Cd 3.24-3.36
Cd (0.2368, 0.6205, 0.8573)  3 Ga 3.04-3.06, 6 Zn 3.09-3.14, 3 Cd 3.24-3.36



No. 8
Compound: VZnI
Source: Alexandria via LeMat-Bulk
Functional: PBE
Structure: relaxed

Properties
Energy relative to the elements, uncorrected, eV per formula unit: 1.28
Space group: Amm2, No. 38
M_tot, μB/atom: 0.59

Cell: 3.4513 3.4511 13.2517 Å, 90.00 90.00 120.00°
With the nearest neighbours (Å) after each atom.
Atoms (fractional coordinates):
V (0.4450, 0.8900, 0.0000)  6 I 2.73
V (0.4438, 0.8876, 0.5000)  6 Zn 2.67-2.68
Zn (0.7772, 0.5544, 0.3653)  3 V 2.67-2.68
Zn (0.7772, 0.5544, 0.6347)  3 V 2.67-2.68
I (0.1117, 0.2234, 0.1406)  3 V 2.73
I (0.1117, 0.2234, 0.8594)  3 V 2.73



No. 9
Compound: YMgZr2
Source: Alexandria via LeMat-Bulk
Functional: PBE
Structure: relaxed

Properties
Formation energy, meV/atom: 45
Space group: Pmm2, No. 25
M_tot, μB/atom: 0.00

Cell: 3.3399 4.3672 6.8917 Å, 90.00 90.00 90.00°
With the nearest neighbours (Å) after each atom.
Atoms (fractional coordinates):
Mg (0.0000, 0.0000, 0.4827)  5 Zr 3.16-3.23, 4 Y 3.33, 2 Mg 3.34
Zr (0.0000, 0.0000, 0.0244)  6 Zr 3.11-3.34, 1 Mg 3.16, 4 Y 3.31
Zr (0.5000, 0.5000, 0.2363)  6 Zr 3.11-3.34, 4 Mg 3.23, 1 Y 3.31
Y (0.5000, 0.5000, 0.7566)  6 Zr 3.31-3.59, 4 Mg 3.33, 2 Y 3.34



No. 10
Compound: ZrNi4
Source: Alexandria via LeMat-Bulk
Functional: PBE
Structure: relaxed

Properties
Distance to the lowest polymorph of the same formula, meV/atom: 88
Formation energy, meV/atom: -174
Space group: I4/mmm, No. 139
M_tot, μB/atom: 0.05

Cell: 6.0249 6.0249 6.0249 Å, 146.13 146.13 48.66°
With the nearest neighbours (Å) after each atom.
Atoms (fractional coordinates):
Ni (0.3963, 0.3963, 0.0000)  5 Ni 2.28-2.38
Ni (0.2500, 0.7500, 0.5000)  8 Ni 2.38-2.48
Ni (0.7500, 0.2500, 0.5000)  8 Ni 2.38-2.48
Ni (0.6037, 0.6037, 0.0000)  5 Ni 2.28-2.38
Zr (0.0000, 0.0000, 0.0000)  8 Ni 2.73



No. 11
Compound: Pm5Nd2Tm12
Source: Alexandria via LeMat-Bulk
Functional: PBE
Structure: relaxed

Properties
Distance to the lowest polymorph of the same formula, meV/atom: 102
Formation energy, meV/atom: 127
Space group: C2/m, No. 12
M_tot, μB/atom: 0.00

Cell: 9.2566 9.0476 8.5837 Å, 91.83 90.00 120.77°
With the nearest neighbours (Å) after each atom.
Atoms (fractional coordinates):
Tm (0.9716, 0.2997, 0.2427)  4 Tm 3.30-3.68, 1 Nd 3.34, 4 Pm 3.47-3.68
Tm (0.9208, 0.8416, 0.1233)  5 Tm 3.31-3.68, 2 Nd 3.41, 3 Pm 3.42-3.58
Tm (0.1822, 0.7421, 0.3397)  5 Tm 3.37-3.53, 4 Pm 3.38-3.74, 1 Nd 3.60
Tm (0.5599, 0.7421, 0.3397)  5 Tm 3.37-3.53, 4 Pm 3.38-3.74, 1 Nd 3.60
Tm (0.3281, 0.2997, 0.2427)  4 Tm 3.30-3.68, 1 Nd 3.34, 4 Pm 3.47-3.68
Tm (0.4401, 0.2579, 0.6603)  5 Tm 3.37-3.53, 4 Pm 3.38-3.74, 1 Nd 3.60
Tm (0.8178, 0.2579, 0.6603)  5 Tm 3.37-3.53, 4 Pm 3.38-3.74, 1 Nd 3.60
Tm (0.6719, 0.7003, 0.7573)  4 Tm 3.30-3.68, 1 Nd 3.34, 4 Pm 3.47-3.68
Tm (0.4435, 0.8871, 0.6665)  7 Tm 3.37-3.46, 2 Pm 3.38-3.65, 2 Nd 3.39
Tm (0.0284, 0.7003, 0.7573)  4 Tm 3.30-3.68, 1 Nd 3.34, 4 Pm 3.47-3.68
Tm (0.0792, 0.1584, 0.8767)  5 Tm 3.31-3.68, 2 Nd 3.41, 3 Pm 3.42-3.58
Tm (0.5565, 0.1129, 0.3335)  7 Tm 3.37-3.46, 2 Pm 3.38-3.65, 2 Nd 3.39
Nd (0.3220, 0.0000, 0.0000)  1 Nd 3.29, 8 Tm 3.34-3.60, 2 Pm 3.59
Nd (0.6780, 0.0000, 0.0000)  1 Nd 3.29, 8 Tm 3.34-3.60, 2 Pm 3.59
Pm (0.2306, 0.4612, 0.5728)  8 Tm 3.38-3.58, 2 Pm 3.62-3.64
Pm (0.0000, 0.0000, 0.5000)  10 Tm 3.42-3.74, 2 Pm 3.62
Pm (0.7694, 0.5387, 0.4272)  8 Tm 3.38-3.58, 2 Pm 3.62-3.64
Pm (0.7054, 0.4107, 0.0149)  8 Tm 3.44-3.68, 2 Nd 3.59, 1 Pm 3.64
Pm (0.2946, 0.5893, 0.9851)  8 Tm 3.44-3.68, 2 Nd 3.59, 1 Pm 3.64



No. 12
Compound: AcSm2Sn2
Source: Alexandria via LeMat-Bulk
Functional: PBE
Structure: relaxed

Properties
Formation energy, meV/atom: -579
Space group: C2/m, No. 12
M_tot, μB/atom: 0.00

Cell: 4.8275 4.8275 7.8534 Å, 107.81 107.81 89.98°
With the nearest neighbours (Å) after each atom.
Atoms (fractional coordinates):
Sm (0.2501, 0.7499, 0.5000)  4 Sn 3.20, 4 Sm 3.41
Sm (0.7499, 0.2501, 0.5000)  4 Sn 3.20, 4 Sm 3.41
Ac (0.0000, 0.0000, 0.0000)  8 Sn 3.69-3.72
Sn (0.6029, 0.6029, 0.2031)  1 Sn 2.88, 4 Sm 3.20
Sn (0.3971, 0.3971, 0.7969)  1 Sn 2.88, 4 Sm 3.20



| no. | DOS(E_F) (states/eV per atom) | density (g cm⁻³) |
| --- | --- | --- |
| 1 | 0.5436 | 6.98 |
| 2 | 0.6585 | 9.78 |
| 3 | 0.4585 | 3.60 |
| 4 | 1.5099 | 7.52 |
| 5 | 0.3725 | 9.47 |
| 6 | 1.4156 | 2.17 |
| 7 | 0.2548 | 7.28 |
| 8 | 0.8786 | 5.91 |
| 9 | 1.1623 | 4.88 |
| 10 | 1.7319 | 8.00 |
| 11 | 1.2964 | 8.18 |
| 12 | 0.9878 | 7.70 |